Model A:
The following is a GGA-PBE calculation of a geometry-optimized Tl2Zn2Cd structure, from Alexandria.

a b c (Å): 8.608 8.608 3.380
angles (deg): 90.00 90.00 90.00
Positions (direct):
Tl 0.688 0.188 0.000
Tl 0.188 0.312 0.000
Tl 0.312 0.812 0.000
Tl 0.812 0.688 0.000
Zn 0.889 0.389 0.500
Zn 0.389 0.111 0.500
Zn 0.611 0.889 0.500
Zn 0.111 0.611 0.500
Cd 0.500 0.500 0.000
Cd 0.000 0.000 0.000

Properties
V (Å³ per cell): 250.4
M_tot (μB/f.u.): 0.0

---

Model B:
The following is a GGA-PBE calculation of a geometry-optimized Tl2Zn2Cd structure, from Alexandria.

a b c (Å): 7.228 7.228 4.576
angles (deg): 90.00 90.00 90.00
Positions (direct):
Tl 0.823 0.323 0.500
Tl 0.677 0.823 0.500
Tl 0.323 0.177 0.500
Tl 0.177 0.677 0.500
Zn 0.873 0.627 0.000
Zn 0.627 0.127 0.000
Zn 0.127 0.373 0.000
Zn 0.373 0.873 0.000
Cd 0.500 0.500 0.000
Cd 0.000 0.000 0.000

Properties
V (Å³ per cell): 239.1
M_tot (μB/f.u.): 0.0

---

Model C:
The following is a GGA-PBE calculation of a geometry-optimized Tl2Zn2Cd structure, from Alexandria.

a b c (Å): 4.531 4.531 7.046
angles (deg): 71.25 71.25 90.00
Positions (direct):
Tl 0.750 0.250 0.500
Tl 0.250 0.750 0.500
Zn 0.404 0.404 0.192
Zn 0.596 0.596 0.808
Cd 0.000 0.000 0.000

Properties
V (Å³ per cell): 128.8
M_tot (μB/f.u.): 0.0

---

Most stable: model B

---

Model A:
The following is a GGA-PBE calculation of a geometry-optimized TlZnCd structure, from Alexandria.

a b c (Å): 4.735 4.735 4.735
angles (deg): 60.00 60.00 60.00
Positions (direct):
Cd 0.000 0.000 0.000
Tl 0.500 0.500 0.500
Zn 0.750 0.750 0.750

Properties
V (Å³ per cell): 75.1
M_tot (μB/f.u.): 0.0

---

Model B:
The following is a GGA-PBE calculation of a geometry-optimized TlZnCd structure, from Alexandria.

a b c (Å): 6.546 6.546 6.546
angles (deg): 149.67 149.67 43.43
Positions (direct):
Zn 0.655 0.655 0.000
Tl 0.324 0.324 0.000
Cd 0.021 0.021 0.000

Properties
V (Å³ per cell): 71.3
M_tot (μB/f.u.): 0.0

---

Model C:
The following is a GGA-PBE calculation of a geometry-optimized TlZnCd structure, from Alexandria.

a b c (Å): 3.314 3.316 15.086
angles (deg): 90.00 90.00 119.97
Positions (direct):
Tl 0.609 0.217 0.308
Tl 0.609 0.217 0.692
Cd 0.608 0.215 0.000
Cd 0.295 0.591 0.500
Zn 0.273 0.546 0.145
Zn 0.273 0.546 0.855

Properties
V (Å³ per cell): 143.6
M_tot (μB/f.u.): 0.0

---

Most stable: model A

---

Model A:
The following is a GGA-PBE calculation of a geometry-optimized TlZnCd structure, from Alexandria.

a b c (Å): 4.803 4.803 3.687
angles (deg): 90.00 90.00 120.00
Positions (direct):
Tl 0.667 0.333 0.335
Cd 0.000 0.000 0.839
Zn 0.333 0.667 0.826

Properties
V (Å³ per cell): 73.7
M_tot (μB/f.u.): 0.0

---

Model B:
The following is a GGA-PBE calculation of a geometry-optimized TlZnCd structure, from Alexandria.

a b c (Å): 8.103 7.885 3.177
angles (deg): 82.41 74.73 22.87
Positions (direct):
Zn 0.658 0.658 0.342
Cd 0.015 0.015 0.985
Tl 0.326 0.326 0.674

Properties
V (Å³ per cell): 72.7
M_tot (μB/f.u.): 0.0

---

Most stable: model A

---

Model A:
The following is a GGA-PBE calculation of a geometry-optimized Tl2ZnCd2 structure, from Alexandria.

a b c (Å): 7.260 7.260 5.028
angles (deg): 90.00 90.00 90.00
Positions (direct):
Tl 0.331 0.169 0.500
Tl 0.169 0.669 0.500
Tl 0.831 0.331 0.500
Tl 0.669 0.831 0.500
Zn 0.000 0.000 0.000
Zn 0.500 0.500 0.000
Cd 0.855 0.645 0.000
Cd 0.355 0.855 0.000
Cd 0.145 0.355 0.000
Cd 0.645 0.145 0.000

Properties
V (Å³ per cell): 265.0
M_tot (μB/f.u.): 0.0

---

Model B:
The following is a GGA-PBE calculation of a geometry-optimized Tl2ZnCd2 structure, from Alexandria.

a b c (Å): 8.967 8.967 3.458
angles (deg): 90.00 90.00 90.00
Positions (direct):
Tl 0.179 0.321 0.000
Tl 0.321 0.821 0.000
Tl 0.679 0.179 0.000
Tl 0.821 0.679 0.000
Zn 0.500 0.500 0.000
Zn 0.000 0.000 0.000
Cd 0.622 0.878 0.500
Cd 0.878 0.378 0.500
Cd 0.378 0.122 0.500
Cd 0.122 0.622 0.500

Properties
V (Å³ per cell): 278.0
M_tot (μB/f.u.): 0.0

---

Most stable: model A